No. 1
# TmMoAs PBE optimized geometry
# Symmetry: C2/m, No. 12
# Crystal system: monoclinic
# E_form: -0.511 eV/atom
data_TmMoAs
_space_group_name_H-M_alt 'P 1'
_space_group_IT_number 1
_cell_length_a 5.316
_cell_length_b 5.316
_cell_length_c 7.107
_cell_angle_alpha 102.79
_cell_angle_beta 102.79
_cell_angle_gamma 40.21
loop_
_space_group_symop_operation_xyz
'x,y,z'
loop_
_atom_site_label
_atom_site_fract_x
_atom_site_fract_y
_atom_site_fract_z
_atom_site_occupancy
Tm1 0.114 0.114 0.309 1
Tm2 0.886 0.886 0.691 1
Mo1 0.382 0.382 0.039 1
Mo2 0.618 0.618 0.961 1
As1 0.173 0.173 0.727 1
As2 0.827 0.827 0.273 1

No. 2
# CaAsI PBE optimized geometry
# Symmetry: P-1, No. 2
# Crystal system: triclinic
# Energy relative to the lowest polymorph listed for this composition: 88 meV per atom
data_CaAsI
_space_group_name_H-M_alt 'P 1'
_space_group_IT_number 1
_cell_length_a 4.396
_cell_length_b 4.669
_cell_length_c 12.434
_cell_angle_alpha 82.78
_cell_angle_beta 79.89
_cell_angle_gamma 61.94
loop_
_space_group_symop_operation_xyz
'x,y,z'
loop_
_atom_site_label
_atom_site_fract_x
_atom_site_fract_y
_atom_site_fract_z
_atom_site_occupancy
Ca1 0.015 0.285 0.186 1
Ca2 0.985 0.715 0.814 1
As1 0.232 0.080 0.956 1
As2 0.768 0.920 0.044 1
I1 0.284 0.606 0.327 1
I2 0.716 0.394 0.673 1

No. 3
# CsScBe2Ir PBE optimized geometry
# Symmetry: P4/mmm, No. 123
# Crystal system: tetragonal
# Energy relative to the lowest polymorph listed for this composition: 0 meV per atom
# E_form: 0.301 eV/atom
data_CsScBe2Ir
_space_group_name_H-M_alt 'P 1'
_space_group_IT_number 1
_cell_length_a 4.697
_cell_length_b 4.697
_cell_length_c 4.978
_cell_angle_alpha 90.00
_cell_angle_beta 90.00
_cell_angle_gamma 90.00
loop_
_space_group_symop_operation_xyz
'x,y,z'
loop_
_atom_site_label
_atom_site_fract_x
_atom_site_fract_y
_atom_site_fract_z
_atom_site_occupancy
Cs1 0.000 0.000 0.000 1
Sc1 0.500 0.500 0.000 1
Be1 0.000 0.500 0.500 1
Be2 0.500 0.000 0.500 1
Ir1 0.500 0.500 0.500 1

No. 4
# Ac5Cd2In PBE optimized geometry
# Symmetry: I4/mcm, No. 140
# Crystal system: tetragonal
# E_form: -0.228 eV/atom
data_Ac5Cd2In
_space_group_name_H-M_alt 'P 1'
_space_group_IT_number 1
_cell_length_a 10.379
_cell_length_b 10.379
_cell_length_c 10.379
_cell_angle_alpha 132.10
_cell_angle_beta 132.10
_cell_angle_gamma 70.06
loop_
_space_group_symop_operation_xyz
'x,y,z'
loop_
_atom_site_label
_atom_site_fract_x
_atom_site_fract_y
_atom_site_fract_z
_atom_site_occupancy
Ac1 0.000 0.000 0.000 1
Ac2 0.016 0.516 0.836 1
Ac3 0.180 0.016 0.500 1
Ac4 0.320 0.820 0.836 1
Ac5 0.484 0.320 0.500 1
Ac6 0.500 0.500 0.000 1
Ac7 0.516 0.680 0.500 1
Ac8 0.680 0.180 0.164 1
Ac9 0.820 0.984 0.500 1
Ac10 0.984 0.484 0.164 1
Cd1 0.122 0.378 0.500 1
Cd2 0.378 0.878 0.256 1
Cd3 0.622 0.122 0.744 1
Cd4 0.878 0.622 0.500 1
In1 0.250 0.250 0.000 1
In2 0.750 0.750 0.000 1